No. 1
VASP calculation (PBE) on crystalline Pa2GeSe6 at its relaxed geometry.

abc: 6.7729 7.0221 11.2629
angles: 90.00 117.60 90.00
With the nearest neighbours (Å) after each atom.
Space group P2_1/c (No. 14)
Inequivalent atoms, fractional coordinates:
Pa1 0.1651 0.1159 0.2178 [4 per cell]  7 Se 2.77-3.03
Ge1 0.5000 0.0000 0.0000 [2 per cell]  6 Se 2.71-2.83
Se1 0.1153 0.1870 0.9401 [4 per cell]  1 Ge 2.71, 3 Pa 2.86-3.03
Se2 0.2262 0.6726 0.9078 [4 per cell]  2 Pa 2.79-2.83, 1 Ge 2.83
Se3 0.4435 0.0772 0.7506 [4 per cell]  1 Ge 2.71, 2 Pa 2.77-2.85

=====

No. 2
VASP calculation (PBE) on crystalline PaGe2Se8 at its relaxed geometry.

abc: 10.3439 12.7628 6.6323
angles: 90.00 107.00 90.00
With the nearest neighbours (Å) after each atom.
Space group C2/m (No. 12)
Inequivalent atoms, fractional coordinates:
Pa1 0.0000 0.0000 0.0000 [2 per cell]  6 Se 2.80-2.84
Ge1 0.2179 0.0000 0.7002 [4 per cell]  4 Se 2.36-2.47
Se1 0.0325 0.5000 0.1844 [4 per cell]  1 Se 2.34, 1 Ge 2.47
Se2 0.1267 0.1504 0.8163 [8 per cell]  1 Ge 2.36
Se3 0.2349 0.0000 0.3520 [4 per cell]  1 Ge 2.37

=====

No. 3
VASP calculation (PBE) on crystalline Pa3GeSe3 at its relaxed geometry.

abc: 8.5311 8.5311 17.1737
angles: 90.00 90.00 120.00
With the nearest neighbours (Å) after each atom.
Space group R-3 (No. 148, hexagonal axes)
Inequivalent atoms, fractional coordinates:
Pa1 0.0039 0.6215 0.4248 [18 per cell]  5 Se 2.89-3.00, 2 Ge 2.93-2.99
Ge1 0.0000 0.0000 0.1676 [6 per cell]  6 Pa 2.93-2.99
Se1 0.0053 0.7321 0.5904 [18 per cell]  5 Pa 2.89-3.00

=====

No. 4
VASP calculation (PBE) on crystalline Pa2Ge4Se9 at its relaxed geometry.

abc: 7.0837 7.0838 19.0857
angles: 90.00 90.00 120.00
With the nearest neighbours (Å) after each atom.
Space group P-1 (No. 2)
Inequivalent atoms, fractional coordinates:
Pa1 0.0001 0.0003 0.1514 [2 per cell]  6 Se 2.77-2.83
Pa2 0.9997 0.9998 0.3486 [2 per cell]  6 Se 2.77-2.83
Ge1 0.3319 0.6651 0.4873 [2 per cell]  6 Se 2.80-2.86
Ge2 0.3322 0.6650 0.9873 [2 per cell]  6 Se 2.81-2.86
Ge3 0.3333 0.6688 0.1729 [2 per cell]  6 Se 2.76-2.91
Ge4 0.3358 0.6676 0.6728 [2 per cell]  6 Se 2.76-2.91
Se1 0.0003 0.2989 0.7501 [2 per cell]  2 Pa 2.83, 2 Ge 2.89-2.91
Se2 0.0258 0.3584 0.0837 [2 per cell]  1 Pa 2.77, 3 Ge 2.77-2.85
Se3 0.0260 0.6682 0.5836 [2 per cell]  1 Pa 2.77, 3 Ge 2.78-2.85
Se4 0.2990 0.9998 0.7501 [2 per cell]  2 Pa 2.83, 2 Ge 2.89-2.90
Se5 0.2986 0.2992 0.2502 [2 per cell]  2 Pa 2.83, 2 Ge 2.88-2.91
Se6 0.3321 0.9745 0.0837 [2 per cell]  3 Ge 2.76-2.86, 1 Pa 2.77
Se7 0.3328 0.3583 0.5837 [2 per cell]  3 Ge 2.76-2.85, 1 Pa 2.77
Se8 0.3573 0.0256 0.4163 [2 per cell]  3 Ge 2.76-2.86, 1 Pa 2.77
Se9 0.3574 0.3314 0.9164 [2 per cell]  1 Pa 2.77, 3 Ge 2.78-2.86

=====

No. 5
VASP calculation (PBE) on crystalline Pa2GeSe6 at its relaxed geometry.

abc: 13.9812 3.8738 11.3952
angles: 90.00 119.87 90.00
With the nearest neighbours (Å) after each atom.
Space group C2/m (No. 12)
Inequivalent atoms, fractional coordinates:
Pa1 0.1865 0.0000 0.2956 [4 per cell]  7 Se 2.85-2.94
Ge1 0.0000 0.5000 0.0000 [2 per cell]  4 Se 2.61-2.63
Se1 0.0198 0.5000 0.2418 [4 per cell]  1 Ge 2.63, 2 Pa 2.85
Se2 0.1561 0.0000 0.5326 [4 per cell]  3 Pa 2.85-2.94
Se3 0.2149 0.5000 0.1298 [4 per cell]  1 Ge 2.61, 2 Pa 2.87

=====

No. 6
VASP calculation (PBE) on crystalline Pa4GeSe3 at its relaxed geometry.

abc: 5.7863 5.7863 5.7863
angles: 90.00 90.00 90.00
With the nearest neighbours (Å) after each atom.
Space group Pm-3m (No. 221)
Inequivalent atoms, fractional coordinates:
Pa1 0.0000 0.0000 0.0000 [1 per cell]  6 Se 2.89
Pa2 0.0000 0.5000 0.5000 [3 per cell]  2 Ge 2.89, 4 Se 2.89
Ge1 0.5000 0.5000 0.5000 [1 per cell]  6 Pa 2.89
Se1 0.0000 0.0000 0.5000 [3 per cell]  6 Pa 2.89

=====

No. 7
VASP calculation (PBE) on crystalline Pa3GeSe6 at its relaxed geometry.

abc: 11.0705 13.5262 7.0145
angles: 90.00 90.00 90.00
With the nearest neighbours (Å) after each atom.
Space group Cmc2_1 (No. 36)
Inequivalent atoms, fractional coordinates:
Pa1 0.0000 0.0978 0.0000 [4 per cell]  7 Se 2.87-2.93
Pa2 0.1770 0.4011 0.8812 [8 per cell]  7 Se 2.87-3.02
Ge1 0.0000 0.3412 0.3968 [4 per cell]  5 Se 2.65-2.92
Se1 0.0000 0.2633 0.7433 [4 per cell]  1 Ge 2.65, 3 Pa 2.87
Se2 0.0000 0.4919 0.1344 [4 per cell]  2 Ge 2.75-2.81, 4 Pa 2.92-2.99
Se3 0.1635 0.0406 0.6909 [8 per cell]  4 Pa 2.91-2.93
Se4 0.1735 0.2321 0.1632 [8 per cell]  3 Pa 2.88-3.02, 1 Ge 2.92

=====

No. 8
VASP calculation (PBE) on crystalline Pa4SiGe2Se at its relaxed geometry.

abc: 7.0999 4.1200 7.1060
angles: 90.00 109.65 90.00
With the nearest neighbours (Å) after each atom.
Space group P2/m (No. 10)
Inequivalent atoms, fractional coordinates:
Pa1 0.2441 0.0000 0.2464 [2 per cell]  2 Si 2.88, 3 Ge 2.89-2.93, 1 Se 2.92
Pa2 0.2452 0.5000 0.7503 [2 per cell]  1 Si 2.87, 3 Ge 2.89-2.93, 2 Se 2.92
Si1 0.0000 0.5000 0.0000 [1 per cell]  6 Pa 2.87-2.88
Ge1 0.0000 0.0000 0.5000 [1 per cell]  6 Pa 2.89
Ge2 0.5000 0.5000 0.5000 [1 per cell]  6 Pa 2.93
Se1 0.5000 0.0000 0.0000 [1 per cell]  6 Pa 2.92

=====

No. 9
VASP calculation (PBE) on crystalline Pa4TcGeSe2 at its relaxed geometry.

abc: 7.1157 4.0003 7.1334
angles: 90.00 108.14 90.00
With the nearest neighbours (Å) after each atom.
Space group P2/m (No. 10)
Inequivalent atoms, fractional coordinates:
Pa1 0.2315 0.0000 0.2298 [2 per cell]  2 Tc 2.78, 1 Ge 2.88, 3 Se 2.90-3.01
Pa2 0.2390 0.5000 0.7623 [2 per cell]  1 Tc 2.75, 2 Ge 2.89, 3 Se 2.90-3.02
Tc1 0.0000 0.5000 0.0000 [1 per cell]  6 Pa 2.75-2.78
Ge1 0.5000 0.0000 0.0000 [1 per cell]  6 Pa 2.88-2.89
Se1 0.0000 0.0000 0.5000 [1 per cell]  6 Pa 2.90
Se2 0.5000 0.5000 0.5000 [1 per cell]  6 Pa 3.01-3.02

=====

No. 10
VASP calculation (PBE) on crystalline Pa4GeTeSe2 at its relaxed geometry.

abc: 8.3240 8.3378 11.7678
angles: 90.00 90.00 90.00
With the nearest neighbours (Å) after each atom.
Space group F222 (No. 22)
Inequivalent atoms, fractional coordinates:
Pa1 0.0000 0.0000 0.2410 [8 per cell]  3 Se 2.84-2.95, 2 Ge 2.95, 1 Te 3.05
Pa2 0.2500 0.2500 0.9998 [8 per cell]  1 Ge 2.94, 3 Se 2.94-2.95, 2 Te 2.95
Ge1 0.2500 0.2500 0.7500 [4 per cell]  6 Pa 2.94-2.95
Te1 0.0000 0.0000 0.5000 [4 per cell]  6 Pa 2.95-3.05
Se1 0.0000 0.0000 0.0000 [4 per cell]  6 Pa 2.84-2.95
Se2 0.2500 0.2500 0.2500 [4 per cell]  6 Pa 2.94-2.95

=====

No. 11
VASP calculation (PBE) on crystalline ThPaGeSe at its relaxed geometry.

abc: 7.1943 7.1943 7.1943
angles: 90.00 90.00 90.00
With the nearest neighbours (Å) after each atom.
Space group F-43m (No. 216)
Inequivalent atoms, fractional coordinates:
Th1 0.0000 0.0000 0.0000 [4 per cell]  4 Se 3.12, 4 Ge 3.12
Pa1 0.0000 0.0000 0.5000 [4 per cell]  4 Ge 3.12, 4 Se 3.12
Ge1 0.2500 0.2500 0.2500 [4 per cell]  4 Th 3.12, 4 Pa 3.12
Se1 0.2500 0.2500 0.7500 [4 per cell]  4 Th 3.12, 4 Pa 3.12

=====

No. 12
VASP calculation (PBE) on crystalline PaTl3Ge2Se6 at its relaxed geometry.

abc: 7.2294 12.5096 7.9666
angles: 90.00 107.50 90.00
With the nearest neighbours (Å) after each atom.
Space group C2/m (No. 12)
Inequivalent atoms, fractional coordinates:
Pa1 0.0000 0.0000 0.0000 [2 per cell]  6 Se 2.79-2.80
Tl1 0.0000 0.1682 0.5000 [4 per cell]  6 Se 3.31-3.36
Tl2 0.0000 0.5000 0.5000 [2 per cell]  6 Se 3.32-3.35
Ge1 0.0000 0.3330 0.0000 [4 per cell]  6 Se 2.85-2.88
Se1 0.2283 0.1630 0.1971 [8 per cell]  1 Pa 2.79, 2 Ge 2.85-2.86
Se2 0.2417 0.5000 0.2005 [4 per cell]  1 Pa 2.80, 2 Ge 2.88

=====

No. 13
VASP calculation (PBE) on crystalline PaTl2GeSe4 at its relaxed geometry.

abc: 7.2699 4.1658 8.0559
angles: 90.00 106.66 90.00
With the nearest neighbours (Å) after each atom.
Space group P2/m (No. 10)
Inequivalent atoms, fractional coordinates:
Pa1 0.0000 0.0000 0.0000 [1 per cell]  6 Se 2.82-2.88
Tl1 0.0000 0.5000 0.5000 [1 per cell]  6 Se 3.32-3.36
Tl2 0.5000 0.0000 0.5000 [1 per cell]  6 Se 3.35-3.36
Ge1 0.5000 0.5000 0.0000 [1 per cell]  6 Se 2.86-2.87
Se1 0.2337 0.5000 0.2015 [2 per cell]  1 Ge 2.86, 2 Pa 2.88
Se2 0.2633 0.0000 0.8023 [2 per cell]  1 Pa 2.82, 2 Ge 2.87

=====

No. 14
VASP calculation (PBE) on crystalline PaSiGe2 at its relaxed geometry.

abc: 4.4497 4.4497 13.8128
angles: 90.00 90.00 120.00
With the nearest neighbours (Å) after each atom.
Space group R-3m (No. 166, hexagonal axes)
Inequivalent atoms, fractional coordinates:
Pa1 0.0000 0.0000 0.0000 [3 per cell]  8 Ge 3.00-3.05
Si1 0.0000 0.0000 0.5000 [3 per cell]  6 Ge 2.68
Ge1 0.0000 0.0000 0.2211 [6 per cell]  3 Si 2.68, 3 Ge 2.98

=====

No. 15
VASP calculation (PBE) on crystalline Pa3Si3Ge at its relaxed geometry.

abc: 8.2315 8.2315 5.4925
angles: 90.00 90.00 120.00
With the nearest neighbours (Å) after each atom.
Space group P6_3/m (No. 176)
Inequivalent atoms, fractional coordinates:
Pa1 0.0981 0.4203 0.2500 [6 per cell]  5 Si 2.81-3.05
Si1 0.0707 0.3231 0.7500 [6 per cell]  1 Ge 2.56, 3 Pa 2.81-2.84
Ge1 0.3333 0.6667 0.7500 [2 per cell]  3 Si 2.56

=====

No. 16
VASP calculation (PBE) on crystalline Pa4Si3Ge at its relaxed geometry.

abc: 4.0657 4.0768 10.5453
angles: 90.00 90.00 90.00
With the nearest neighbours (Å) after each atom.
Space group Pmm2 (No. 25)
Inequivalent atoms, fractional coordinates:
Pa1 0.0000 0.0000 0.0000 [1 per cell]  6 Si 2.94-3.05, 1 Ge 2.96
Pa2 0.0000 0.5000 0.2768 [1 per cell]  7 Si 2.90-3.08
Pa3 0.5000 0.0000 0.4933 [1 per cell]  5 Si 2.92-2.94, 2 Ge 3.13
Pa4 0.5000 0.5000 0.7800 [1 per cell]  3 Si 2.92-3.15, 4 Ge 2.95
Si1 0.0000 0.5000 0.5515 [1 per cell]  2 Ge 2.70, 5 Pa 2.90-2.94
Si2 0.5000 0.0000 0.2160 [1 per cell]  2 Si 2.64, 5 Pa 2.92-2.95
Si3 0.5000 0.5000 0.0571 [1 per cell]  2 Si 2.64, 5 Pa 2.92-2.94
Ge1 0.0000 0.0000 0.7191 [1 per cell]  2 Si 2.70, 5 Pa 2.95-2.96

=====

No. 17
VASP calculation (PBE) on crystalline Pa4SiGe3 at its relaxed geometry.

abc: 4.0422 4.1991 10.6887
angles: 90.00 90.00 90.00
With the nearest neighbours (Å) after each atom.
Space group Pmm2 (No. 25)
Inequivalent atoms, fractional coordinates:
Pa1 0.0000 0.0000 0.0000 [1 per cell]  5 Ge 2.93-2.96, 2 Si 3.13
Pa2 0.0000 0.5000 0.2707 [1 per cell]  3 Ge 2.92-3.13, 4 Si 2.96
Pa3 0.5000 0.0000 0.4929 [1 per cell]  1 Si 2.88, 6 Ge 2.97-3.21
Pa4 0.5000 0.5000 0.7727 [1 per cell]  7 Ge 2.94-3.17
Si1 0.5000 0.0000 0.2231 [1 per cell]  2 Ge 2.82, 7 Pa 2.88-3.13
Ge1 0.0000 0.0000 0.7262 [1 per cell]  2 Ge 2.86, 5 Pa 2.93-2.96
Ge2 0.0000 0.5000 0.5441 [1 per cell]  2 Ge 2.86, 7 Pa 2.92-3.17
Ge3 0.5000 0.5000 0.0474 [1 per cell]  2 Si 2.82, 7 Pa 2.94-3.13

=====

No. 18
VASP calculation (PBE) on crystalline Pa2Si3Ge2 at its relaxed geometry.

abc: 8.2854 8.2854 8.2854
angles: 90.00 90.00 90.00
With the nearest neighbours (Å) after each atom.
Space group I2_13 (No. 199)
Inequivalent atoms, fractional coordinates:
Pa1 0.0056 0.0056 0.0056 [8 per cell]  1 Ge 2.84, 6 Si 2.89-2.91
Si1 0.0000 0.2500 0.2538 [12 per cell]  2 Ge 2.63, 4 Pa 2.89-2.91
Ge1 0.1920 0.3080 0.6920 [8 per cell]  3 Si 2.63, 1 Pa 2.84

=====

No. 19
VASP calculation (PBE) on crystalline Pa4Si2Ge at its relaxed geometry.

abc: 4.1252 4.1252 33.9696
angles: 90.00 90.00 120.00
With the nearest neighbours (Å) after each atom.
Space group R-3m (No. 166, hexagonal axes)
Inequivalent atoms, fractional coordinates:
Pa1 0.0000 0.0000 0.1167 [6 per cell]  3 Si 2.86, 3 Ge 2.93
Pa2 0.0000 0.0000 0.3087 [6 per cell]  3 Si 2.83, 3 Pa 2.91
Si1 0.0000 0.0000 0.4031 [6 per cell]  6 Pa 2.83-2.86
Ge1 0.0000 0.0000 0.5000 [3 per cell]  6 Pa 2.93

=====

No. 20
VASP calculation (PBE) on crystalline Pa6SiGe at its relaxed geometry.

abc: 4.4726 4.4726 8.9367
angles: 90.00 90.00 90.00
With the nearest neighbours (Å) after each atom.
Space group P4/mmm (No. 123)
Inequivalent atoms, fractional coordinates:
Pa1 0.0000 0.0000 0.0000 [1 per cell]  8 Pa 3.14, 4 Si 3.16
Pa2 0.0000 0.0000 0.5000 [1 per cell]  4 Ge 3.16, 8 Pa 3.19
Pa3 0.0000 0.5000 0.2460 [4 per cell]  8 Pa 3.14-3.19, 2 Si 3.14, 2 Ge 3.19
Si1 0.5000 0.5000 0.0000 [1 per cell]  12 Pa 3.14-3.16
Ge1 0.5000 0.5000 0.5000 [1 per cell]  12 Pa 3.16-3.19

=====

Number 1: total DFT energy (no corrections) -5.960 eV per atom. Number 2: total DFT energy (no corrections) -4.672 eV per atom. Number 3: total DFT energy (no corrections) -7.222 eV per atom. Number 4: total DFT energy (no corrections) -5.267 eV per atom. Number 5: total DFT energy (no corrections) -5.912 eV per atom. Number 6: total DFT energy (no corrections) -7.674 eV per atom. Number 7: total DFT energy (no corrections) -6.464 eV per atom. Number 8: total DFT energy (no corrections) -7.674 eV per atom. Number 9: total DFT energy (no corrections) -8.234 eV per atom. Number 10: total DFT energy (no corrections) -7.439 eV per atom. Number 11: total DFT energy (no corrections) -7.084 eV per atom. Number 12: total DFT energy (no corrections) -4.562 eV per atom. Number 13: total DFT energy (no corrections) -4.838 eV per atom. Number 14: total DFT energy (no corrections) -6.064 eV per atom. Number 15: total DFT energy (no corrections) -7.185 eV per atom. Number 16: total DFT energy (no corrections) -7.804 eV per atom. Number 17: total DFT energy (no corrections) -7.580 eV per atom. Number 18: total DFT energy (no corrections) -6.543 eV per atom. Number 19: total DFT energy (no corrections) -7.816 eV per atom. Number 20: total DFT energy (no corrections) -8.677 eV per atom.